# 1
A plane-wave DFT calculation with PBE was carried out for an optimized crystal structure of ReSeN2O. Values from VASP.

```
&SYSTEM
  ibrav = 0, nat = 5, ntyp = 4
/
ATOMIC_SPECIES
Re 186.21 Re.upf
O 16.00 O.upf
Se 78.96 Se.upf
N 14.01 N.upf
ATOMIC_POSITIONS crystal
Re 0.5000 0.5000 0.5000
O 0.0000 0.0000 0.5000
Se 0.0000 0.0000 0.0000
N 0.0000 0.5000 0.0000
N 0.5000 0.0000 0.0000
CELL_PARAMETERS angstrom
-3.4571 1.8899 -0.2745
-0.9583 -2.2078 -3.1314
-1.5351 -2.4853 2.2221
```

Calculated values
* formation energy without anion corrections: 9.0 eV/f.u.
* raw total energy: -5.716 eV per atom

# 2
A plane-wave DFT calculation with PBE was carried out for an optimized crystal structure of TbPr5In5. Values from VASP.

```
&SYSTEM
  ibrav = 0, nat = 11, ntyp = 3
/
ATOMIC_SPECIES
Tb 158.93 Tb.upf
Pr 140.91 Pr.upf
In 114.82 In.upf
ATOMIC_POSITIONS crystal
Tb 0.0000 0.0000 0.0000
Pr 0.6889 0.3779 0.1904
Pr 0.6380 0.2761 0.6401
Pr 0.0000 0.0000 0.5000
Pr 0.3620 0.7239 0.3599
Pr 0.3111 0.6221 0.8096
In 0.8372 0.6744 0.0579
In 0.8373 0.6745 0.6163
In 0.5000 0.0000 0.0000
In 0.1627 0.3255 0.3837
In 0.1628 0.3256 0.9421
CELL_PARAMETERS angstrom
-2.4216 1.5362 -5.1290
8.9982 -2.7392 -1.7026
-4.3724 -5.5462 0.4033
```

Calculated values
* energy of formation: -0.248 eV per atom
* raw total energy: -4.087 eV per atom

# 3
A plane-wave DFT calculation with PBE was carried out for an optimized crystal structure of CeNi2Rh2. Values from VASP.

```
&SYSTEM
  ibrav = 0, nat = 10, ntyp = 3
/
ATOMIC_SPECIES
Ce 140.12 Ce.upf
Ni 58.69 Ni.upf
Rh 102.91 Rh.upf
ATOMIC_POSITIONS crystal
Ce 0.6226 0.6226 0.2453
Ce 0.3774 0.3774 0.7547
Ni 0.7500 0.2500 0.5000
Ni 0.9296 0.9296 0.8591
Ni 0.0704 0.0704 0.1409
Ni 0.2500 0.7500 0.5000
Rh 0.0000 0.5000 0.0000
Rh 0.1789 0.1789 0.3577
Rh 0.5000 0.0000 0.0000
Rh 0.8211 0.8211 0.6423
CELL_PARAMETERS angstrom
-0.3521 -1.1095 3.7329
-0.5520 -3.6961 -1.1506
11.1215 0.6575 -0.8034
```

Calculated values
* energy of formation: -0.238 eV per atom
* raw total energy: -6.678 eV per atom

# 4
A plane-wave DFT calculation with PBE was carried out for an optimized crystal structure of La4PrPb2. Values from VASP.

```
&SYSTEM
  ibrav = 0, nat = 14, ntyp = 3
/
ATOMIC_SPECIES
La 138.91 La.upf
Pr 140.91 Pr.upf
Pb 207.20 Pb.upf
ATOMIC_POSITIONS crystal
La 0.8542 0.1936 0.1379
La 0.3934 0.5754 0.0214
La 0.7604 0.4772 0.6694
La 0.8382 0.8156 0.5235
La 0.4035 0.1460 0.4078
La 0.2477 0.0648 0.7416
La 0.4970 0.8544 0.8329
La 0.9916 0.6036 0.0994
Pr 0.1149 0.8036 0.8939
Pr 0.2019 0.4553 0.3426
Pb 0.6336 0.2094 0.7999
Pb 0.7087 0.8987 0.2117
Pb 0.5384 0.4210 0.2790
Pb 0.0665 0.2313 0.5389
CELL_PARAMETERS angstrom
9.0723 0.4145 2.5024
-0.4933 8.7314 -1.1753
-2.4002 -5.4456 6.0257
```

Calculated values
* energy of formation: -0.270 eV per atom
* raw total energy: -4.828 eV per atom

# 5
A plane-wave DFT calculation with PBE was carried out for an optimized crystal structure of InCu4. Values from VASP.

```
&SYSTEM
  ibrav = 0, nat = 20, ntyp = 2
/
ATOMIC_SPECIES
In 114.82 In.upf
Cu 63.55 Cu.upf
ATOMIC_POSITIONS crystal
In 0.5757 0.0000 0.0000
In 0.0000 0.5757 0.0000
In 0.4243 0.4243 0.4243
In 0.0000 0.0000 0.5757
Cu 0.2134 0.0000 0.0000
Cu 0.0000 0.2134 0.0000
Cu 0.7866 0.7866 0.7866
Cu 0.0000 0.0000 0.2134
Cu 0.3520 0.0000 0.3520
Cu 0.6480 0.0000 0.6480
Cu 0.0000 0.6480 0.6480
Cu 0.0000 0.3520 0.3520
Cu 0.3520 0.3520 0.0000
Cu 0.6480 0.6480 0.0000
Cu 0.2500 0.5000 0.7500
Cu 0.7500 0.5000 0.2500
Cu 0.5000 0.2500 0.7500
Cu 0.5000 0.7500 0.2500
Cu 0.7500 0.2500 0.5000
Cu 0.2500 0.7500 0.5000
CELL_PARAMETERS angstrom
7.3033 0.0000 0.0000
-2.4344 6.8856 0.0000
-2.4344 -3.4428 5.9631
```

Calculated values
* energy of formation: 0.158 eV per atom
* raw total energy: -3.667 eV per atom

# 6
A plane-wave DFT calculation with PBE was carried out for an optimized crystal structure of Cr2RuAu. Values from VASP.

```
&SYSTEM
  ibrav = 0, nat = 4, ntyp = 3
/
ATOMIC_SPECIES
Au 196.97 Au.upf
Cr 52.00 Cr.upf
Ru 101.07 Ru.upf
ATOMIC_POSITIONS crystal
Au 0.5000 0.5000 0.7594
Cr 0.0000 0.0000 0.0347
Cr 0.5000 0.5000 0.2486
Ru 0.0000 0.0000 0.4572
CELL_PARAMETERS angstrom
2.9051 0.0000 0.0000
0.0000 2.9051 0.0000
0.0000 0.0000 6.8861
```

Calculated values
* energy of formation: 0.234 eV per atom
* raw total energy: -7.716 eV per atom

# 7
A plane-wave DFT calculation with PBE was carried out for an optimized crystal structure of TaIr2Pt. Values from VASP.

```
&SYSTEM
  ibrav = 0, nat = 4, ntyp = 3
/
ATOMIC_SPECIES
Ir 192.22 Ir.upf
Pt 195.08 Pt.upf
Ta 180.95 Ta.upf
ATOMIC_POSITIONS crystal
Ir 0.0000 0.0000 0.0000
Ir 0.5000 0.5000 0.0000
Pt 0.5000 0.5000 0.5000
Ta 0.0000 0.0000 0.5000
CELL_PARAMETERS angstrom
-2.4456 -1.0391 0.9912
-0.7273 -2.2866 -4.1917
1.7101 -5.1211 -1.1493
```

Calculated values
* energy of formation: -0.392 eV per atom
* raw total energy: -9.296 eV per atom

# 8
A plane-wave DFT calculation with PBE was carried out for an optimized crystal structure of CsTa2Si. Values from VASP.

```
&SYSTEM
  ibrav = 0, nat = 8, ntyp = 3
/
ATOMIC_SPECIES
Cs 132.91 Cs.upf
Si 28.09 Si.upf
Ta 180.95 Ta.upf
ATOMIC_POSITIONS crystal
Cs 0.0000 0.0000 0.0000
Cs 0.7500 0.2500 0.5000
Si 0.5000 0.5000 0.0000
Si 0.2500 0.7500 0.5000
Ta 0.2898 0.1250 0.2500
Ta 0.4602 0.6250 0.2500
Ta 0.3750 0.7102 0.7500
Ta 0.8750 0.5398 0.7500
CELL_PARAMETERS angstrom
-1.3587 4.7586 0.3708
-3.2287 -1.2003 3.5725
4.2323 3.1471 8.3292
```

Calculated values
* formation energy without anion corrections: 5.5 eV/f.u.
* raw total energy: -6.118 eV per atom

What is the formula in the seventh record? TaIr2Pt

Please write out number 8 again, unchanged.
A plane-wave DFT calculation with PBE was carried out for an optimized crystal structure of CsTa2Si. Values from VASP.

```
&SYSTEM
  ibrav = 0, nat = 8, ntyp = 3
/
ATOMIC_SPECIES
Cs 132.91 Cs.upf
Si 28.09 Si.upf
Ta 180.95 Ta.upf
ATOMIC_POSITIONS crystal
Cs 0.0000 0.0000 0.0000
Cs 0.7500 0.2500 0.5000
Si 0.5000 0.5000 0.0000
Si 0.2500 0.7500 0.5000
Ta 0.2898 0.1250 0.2500
Ta 0.4602 0.6250 0.2500
Ta 0.3750 0.7102 0.7500
Ta 0.8750 0.5398 0.7500
CELL_PARAMETERS angstrom
-1.3587 4.7586 0.3708
-3.2287 -1.2003 3.5725
4.2323 3.1471 8.3292
```

Calculated values
* formation energy without anion corrections: 5.5 eV/f.u.
* raw total energy: -6.118 eV per atom

Repeat the eighth record exactly.
A plane-wave DFT calculation with PBE was carried out for an optimized crystal structure of CsTa2Si. Values from VASP.

```
&SYSTEM
  ibrav = 0, nat = 8, ntyp = 3
/
ATOMIC_SPECIES
Cs 132.91 Cs.upf
Si 28.09 Si.upf
Ta 180.95 Ta.upf
ATOMIC_POSITIONS crystal
Cs 0.0000 0.0000 0.0000
Cs 0.7500 0.2500 0.5000
Si 0.5000 0.5000 0.0000
Si 0.2500 0.7500 0.5000
Ta 0.2898 0.1250 0.2500
Ta 0.4602 0.6250 0.2500
Ta 0.3750 0.7102 0.7500
Ta 0.8750 0.5398 0.7500
CELL_PARAMETERS angstrom
-1.3587 4.7586 0.3708
-3.2287 -1.2003 3.5725
4.2323 3.1471 8.3292
```

Calculated values
* formation energy without anion corrections: 5.5 eV/f.u.
* raw total energy: -6.118 eV per atom